# PBE-GGA NdThOsBr, optimized geometry
data_NdThOsBr
_symmetry_space_group_name_H-M 'R 3 m'
_symmetry_Int_Tables_number 160
_symmetry_space_group_name_Hall 'R 3 -2"'
_cell_length_a 4.1547
_cell_length_b 4.1547
_cell_length_c 23.8534
_cell_angle_alpha 90.00
_cell_angle_beta 90.00
_cell_angle_gamma 120.00
loop_
_atom_site_label
_atom_site_type_symbol
_atom_site_fract_x
_atom_site_fract_y
_atom_site_fract_z
Nd1 Nd 0.0000 0.0000 0.0000
Th1 Th 0.0000 0.0000 0.7921
Os1 Os 0.0000 0.0000 0.4011
Br1 Br 0.0000 0.0000 0.2302
# - E_tot: -7.03 eV/atom
# - E_form (uncorrected): -0.76 eV per atom
# - Total magnetization: 0.000 μB per formula unit